Entry from Alexandria: an optimized crystal structure of CaNdCu4 (PBE).

Structure (POSCAR):
```
CaNdCu4
1.0
3.969 0.002 1.459
1.786 5.284 1.264
0.156 -0.420 5.702
Ca Nd Cu
1 1 4
Direct
0.500 0.500 0.500
0.000 0.000 0.000
0.745 0.589 0.921
0.745 0.921 0.589
0.255 0.411 0.079
0.255 0.079 0.411
```

Values from the calculation:
SG = Immm, No. 71
mass density = 6.101 g/cm³
magnetic moment = 0.0 μB per cell
ΔE to the lowest computed polymorph = 0.00 eV per formula unit
ΔE_f = -0.97 eV/f.u.
calculated total energy = -24.12 eV/cell


Entry from Alexandria: an optimized crystal structure of CaNd2Cu2 (PBE).

Structure (POSCAR):
```
CaNd2Cu2
1.0
-2.831 1.876 1.884
-5.041 -6.336 -1.265
2.463 -3.367 7.054
Ca Nd Cu
2 4 4
Direct
0.000 0.000 0.000
0.000 0.500 0.500
0.500 0.159 0.659
0.500 0.659 0.841
0.500 0.841 0.341
0.500 0.341 0.159
0.000 0.380 0.880
0.000 0.880 0.620
0.000 0.620 0.120
0.000 0.120 0.380
```

Values from the calculation:
SG = P4/mbm, No. 127
mass density = 5.801 g/cm³
magnetic moment = 0.0 μB per cell
ΔE to the lowest computed polymorph = 0.00 eV per formula unit
ΔE_f = -0.50 eV/f.u.
calculated total energy = -40.47 eV/cell


Entry from Alexandria: an optimized crystal structure of CaNd2Cu2 (PBE).

Structure (POSCAR):
```
CaNd2Cu2
1.0
-1.215 1.161 -3.576
1.692 -5.160 -2.250
-5.147 -1.514 3.441
Ca Nd Cu
1 2 2
Direct
0.000 0.000 0.000
0.351 0.415 0.703
0.649 0.585 0.297
0.717 0.105 0.434
0.283 0.895 0.566
```

Values from the calculation:
SG = C2/m, No. 12
mass density = 5.541 g/cm³
magnetic moment = 0.0 μB per cell
ΔE to the lowest computed polymorph = 0.34 eV per formula unit
ΔE_f = -0.16 eV/f.u.
calculated total energy = -19.89 eV/cell


Entry from Alexandria: an optimized crystal structure of CaNdCu (PBE).

Structure (POSCAR):
```
CaNdCu
1.0
4.996 0.000 0.000
2.498 4.327 0.000
2.498 1.442 4.080
Ca Nd Cu
1 1 1
Direct
0.500 0.500 0.500
0.000 0.000 0.000
0.250 0.250 0.250
```

Values from the calculation:
SG = F-43m, No. 216
mass density = 4.667 g/cm³
magnetic moment = 0.0 μB per cell
ΔE to the lowest computed polymorph = 0.53 eV per formula unit
ΔE_f = 0.23 eV/f.u.
calculated total energy = -10.64 eV/cell


Entry from Alexandria: an optimized crystal structure of CaNdCu4 (PBE).

Structure (POSCAR):
```
CaNdCu4
1.0
-0.934 -2.937 -4.361
3.259 -4.042 -1.245
-1.692 -5.041 0.488
Ca Nd Cu
1 1 4
Direct
0.250 0.250 0.250
0.000 0.000 0.000
0.624 0.624 0.129
0.624 0.129 0.624
0.624 0.624 0.624
0.129 0.624 0.624
```

Values from the calculation:
SG = F-43m, No. 216
mass density = 6.764 g/cm³
magnetic moment = 0.0 μB per cell
ΔE to the lowest computed polymorph = 0.43 eV per formula unit
ΔE_f = -0.54 eV/f.u.
calculated total energy = -23.70 eV/cell


Entry from Alexandria: an optimized crystal structure of CaNd4Cu4 (PBE).

Structure (POSCAR):
```
CaNd4Cu4
1.0
-3.997 -3.815 -1.261
5.326 -3.282 -6.948
3.947 -6.085 5.900
Ca Nd Cu
2 8 8
Direct
0.000 0.000 0.000
0.500 0.500 0.500
0.395 0.330 0.913
0.895 0.587 0.830
0.395 0.670 0.087
0.105 0.170 0.587
0.605 0.913 0.670
0.105 0.830 0.413
0.895 0.413 0.170
0.605 0.087 0.330
0.616 0.771 0.355
0.616 0.229 0.645
0.116 0.855 0.729
0.884 0.271 0.855
0.884 0.729 0.145
0.384 0.355 0.229
0.384 0.645 0.771
0.116 0.145 0.271
```

Values from the calculation:
SG = P4_2/n, No. 86
mass density = 5.840 g/cm³
magnetic moment = 0.0 μB per cell
ΔE_f = 0.00 eV/f.u.
calculated total energy = -74.91 eV/cell